Record 1
{
  "formula": "RhN",
  "functional": "PBE",
  "state": "relaxed",
  "final_energy_ha_per_atom": -0.2744,
  "e_form_raw_ev_per_atom": 0.3708,
  "density_g_cm3": 8.1,
  "e_above_lowest_polymorph_kj_per_mol_fu": 5.8,
  "space_group": "P-4m2 (115)",
  "lattice_angstrom": [[2.794, 0.000, 0.000], [0.000, 2.794, 0.000], [0.000, 0.000, 6.164]],
  "species": ["Rh", "Rh", "N", "N"],
  "frac_coords": [[0.000, 0.500, 0.158], [0.500, 0.000, 0.842], [0.500, 0.500, 0.404], [0.500, 0.500, 0.596]]
}

Record 2
{
  "formula": "RhN",
  "functional": "PBE",
  "state": "relaxed",
  "final_energy_ha_per_atom": -0.2646,
  "e_form_raw_ev_per_atom": 0.6383,
  "density_g_cm3": 7.4,
  "e_above_lowest_polymorph_kj_per_mol_fu": 57.4,
  "space_group": "P4_2/mnm (136)",
  "lattice_angstrom": [[6.102, 0.000, 0.000], [0.000, 6.102, 0.000], [0.000, 0.000, 2.802]],
  "species": ["Rh", "Rh", "Rh", "Rh", "N", "N", "N", "N"],
  "frac_coords": [[0.153, 0.153, 0.000], [0.347, 0.653, 0.500], [0.653, 0.347, 0.500], [0.847, 0.847, 0.000], [0.182, 0.818, 0.000], [0.318, 0.318, 0.500], [0.682, 0.682, 0.500], [0.818, 0.182, 0.000]]
}

Record 3
{
  "formula": "RhN",
  "functional": "PBE",
  "state": "relaxed",
  "final_energy_ha_per_atom": -0.2487,
  "e_form_raw_ev_per_atom": 1.0698,
  "density_g_cm3": 9.0,
  "e_above_lowest_polymorph_kj_per_mol_fu": 140.6,
  "space_group": "P-6m2 (187)",
  "lattice_angstrom": [[3.006, 0.000, 0.000], [-1.503, 2.603, 0.000], [0.000, 0.000, 2.750]],
  "species": ["Rh", "N"],
  "frac_coords": [[0.000, 0.000, 0.000], [0.333, 0.667, 0.500]]
}

Number 1: total magnetic moment 0.00 μB/f.u.. Number 2: total magnetic moment 0.00 μB/f.u.. Number 3: total magnetic moment 0.00 μB/f.u..